# La2ErCoPb, optimized geometry, DFT PBE
data_La2ErCoPb
_space_group_name_H-M_alt 'P 4/m m m'
_space_group_IT_number 123
_space_group_name_Hall '-P 4 2'
_cell_length_a 5.183
_cell_length_b 5.183
_cell_length_c 5.368
_cell_angle_alpha 90.00
_cell_angle_beta 90.00
_cell_angle_gamma 90.00
loop_
_atom_site_label
_atom_site_type_symbol
_atom_site_fract_x
_atom_site_fract_y
_atom_site_fract_z
_atom_site_occupancy
La1 La 0.000 0.500 0.000 1
Er1 Er 0.000 0.000 0.500 1
Co1 Co 0.000 0.000 0.000 1
Pb1 Pb 0.500 0.500 0.500 1
# - DFT total energy (eV per atom) = -5.417
# - energy of formation (eV per atom) = -0.3709